1.
DFT (PBE) results for an optimized crystal structure of MnAsRu2C.

The structure in POSCAR format:
```
MnAsRu2C
1.0
4.508 0.000 0.000
0.000 4.508 0.000
0.000 0.000 4.359
Mn As Ru C
1 1 2 1
Direct
0.000 0.000 0.000 Mn
0.000 0.000 0.500 As
0.000 0.500 0.500 Ru
0.500 0.000 0.500 Ru
0.500 0.500 0.000 C
```

Results
Volume   88.6 Å³ per cell
ΔH_f (0 K)   2.3431 eV per atom
Calculated total energy   -5.9758 eV/atom

***

2.
DFT (PBE) results for an optimized crystal structure of Ta2MnAsC.

The structure in POSCAR format:
```
Ta2MnAsC
1.0
4.771 0.000 0.000
0.000 4.771 0.000
0.000 0.000 4.262
Ta Mn As C
2 1 1 1
Direct
0.000 0.500 0.000 Ta
0.500 0.000 0.000 Ta
0.000 0.000 0.500 Mn
0.000 0.000 0.000 As
0.500 0.500 0.500 C
```

Results
Volume   97.0 Å³ per cell
ΔH_f (0 K)   2.1017 eV per atom
Calculated total energy   -7.2479 eV/atom

***

3.
DFT (PBE) results for an optimized crystal structure of UMn2AsC.

The structure in POSCAR format:
```
UMn2AsC
1.0
1.850 -5.426 0.000
1.850 5.426 0.000
0.000 0.000 6.908
U Mn As C
2 4 2 2
Direct
0.049 0.951 0.750 U
0.951 0.049 0.250 U
0.336 0.664 0.555 Mn
0.336 0.664 0.945 Mn
0.664 0.336 0.055 Mn
0.664 0.336 0.445 Mn
0.230 0.770 0.250 As
0.770 0.230 0.750 As
0.500 0.500 0.000 C
0.500 0.500 0.500 C
```

Results
Volume   138.7 Å³ per cell
ΔH_f (0 K)   -0.3260 eV per atom
Calculated total energy   -9.0262 eV/atom

***

What is the calculated total energy in the third record? -9.0262 eV/atom